AgSe2S | GGA-PBE | relaxed

a = 7.658 Å, b = 7.658 Å, c = 7.658 Å
α = 30.74°, β = 30.74°, γ = 30.74°
Positions (direct):
Se 0.895 0.895 0.895
Se 0.105 0.105 0.105
Ag 0.500 0.500 0.500
S 0.000 0.000 0.000

Results
The crystal system is trigonal. The value obtained for the uncorrected formation energy is 0.24 eV/atom. The total DFT energy (no corrections) is -13.0 eV for the cell shown.